# 1
An optimized crystal structure of LaMo3Ir. Source: Alexandria, functional GGA-PBE.

The value obtained for the calculated volume is 20.40 Å³ per atom. For the theoretical density, the calculation gives 10.08 g cm⁻³. The energy above the lowest structure with this stoichiometry comes out at 1.353 eV/atom. The energy relative to the elements is 11.81 eV/f.u. As for the space group: Pm-3m (221).

```
5
Lattice="-0.306 4.573 -0.909 -1.025 0.823 4.483 4.548 0.493 0.949" Properties=species:S:1:pos:R:3 pbc="T T T"
Mo -0.512 0.411 2.242
Mo 2.274 0.246 0.475
Mo -0.153 2.286 -0.455
Ir 1.609 2.944 2.262
La 0.000 0.000 0.000
```

=====

# 2
An optimized crystal structure of LaP2Ru. Source: Alexandria, functional GGA-PBE.

The value obtained for the calculated volume is 18.85 Å³ per atom. For the theoretical density, the calculation gives 6.65 g cm⁻³. The energy above the lowest structure with this stoichiometry comes out at 0.908 eV/atom. The energy relative to the elements is -0.31 eV/f.u. As for the space group: I-4m2 (119).

```
4
Lattice="-4.315 0.894 3.182 -2.596 -4.393 1.873 5.147 1.730 -0.228" Properties=species:S:1:pos:R:3 pbc="T T T"
La -1.311 0.437 2.741
P 0.000 0.000 0.000
P -0.452 -2.206 2.086
Ru -3.455 -1.749 2.527
```

=====

# 3
An optimized crystal structure of CuIrPd3. Source: Alexandria, functional GGA-PBE.

The value obtained for the calculated volume is 17.92 Å³ per atom. For the theoretical density, the calculation gives 10.66 g cm⁻³. The energy above the lowest structure with this stoichiometry comes out at 0.000 eV/atom. The energy relative to the elements is 6.06 eV/f.u. As for the space group: Pm-3m (221).

```
5
Lattice="-3.254 -2.848 -1.152 2.161 -0.929 -3.806 2.183 -3.324 2.051" Properties=species:S:1:pos:R:3 pbc="T T T"
Ir 0.545 -3.551 -1.454
Cu 0.000 0.000 0.000
Pd 1.081 -0.465 -1.903
Pd 1.092 -1.662 1.026
Pd -1.627 -1.424 -0.576
```

=====

Question: calculated volume of number 3 (CuIrPd3)?
Answer: 17.92 Å³ per atom